{
  "formula": "CrHgSb2",
  "functional": "PBEsol",
  "state": "relaxed",
  "space_group": "No. 225",
  "rho_g_cm3": 9.2,
  "raw_formation_energy_ev_per_atom": 0.444,
  "cell": [[0.000, 3.549, 3.549], [3.549, 0.000, 3.549], [3.549, 3.549, 0.000]],
  "species": ["Cr", "Hg", "Sb", "Sb"],
  "frac_coords": [[0.000, 0.000, 0.000], [0.500, 0.500, 0.500], [0.250, 0.250, 0.250], [0.750, 0.750, 0.750]]
}

***

{
  "formula": "CrHgSb",
  "functional": "PBEsol",
  "state": "relaxed",
  "space_group": "No. 107",
  "rho_g_cm3": 9.9,
  "raw_formation_energy_ev_per_atom": 0.365,
  "cell": [[-1.576, 1.576, 6.321], [1.576, -1.576, 6.321], [1.576, 1.576, -6.321]],
  "species": ["Cr", "Hg", "Sb"],
  "frac_coords": [[0.000, 0.000, 0.000], [0.356, 0.356, 0.000], [0.637, 0.637, 0.000]]
}

***

Sequential energy relative to the lowest polymorph listed for this composition output: 160.2 0.0 meV per atom